<A>
Material: PdWNF2
Method: DFT, PBE with a Hubbard U
State: optimized geometry

Unit cell a=4.259 b=4.259 c=3.973 alpha=90.00 beta=90.00 gamma=90.00
Site moments in Bohr magnetons follow the coordinates.
Fractional positions:
N 0.000 0.000 0.500  -0.24
Pd 0.000 0.000 0.000  -0.11
W 0.500 0.500 0.500  3.60
F 0.000 0.500 0.000  0.05
F 0.500 0.000 0.000  0.05

- Crystal system: tetragonal



<B>
Material: PdWNF2
Method: DFT, PBE with a Hubbard U
State: optimized geometry

Unit cell a=4.195 b=4.195 c=3.996 alpha=90.00 beta=90.00 gamma=90.00
Site moments in Bohr magnetons follow the coordinates.
Fractional positions:
N 0.000 0.000 0.500  -0.31
Pd 0.500 0.500 0.500  0.17
W 0.000 0.000 0.000  1.82
F 0.000 0.500 0.000  0.03
F 0.500 0.000 0.000  0.03

- Crystal system: tetragonal



Stability check: which of them is most stable? <B>.